# 1
# Na4Ca3TcO8, relaxed, DFT GGA-PBE
data_Na4Ca3TcO8
_cell_length_a 6.668
_cell_length_b 6.722
_cell_length_c 6.668
_cell_angle_alpha 119.73
_cell_angle_beta 120.00
_cell_angle_gamma 90.00
_symmetry_space_group_name_H-M 'P 1'
_symmetry_Int_Tables_number 1
_symmetry_space_group_name_Hall 'P 1'
loop_
_atom_site_label
_atom_site_type_symbol
_atom_site_fract_x
_atom_site_fract_y
_atom_site_fract_z
_atom_site_occupancy
Na1 Na 0.500 0.000 0.000 1
Na2 Na 0.500 0.000 0.500 1
Na3 Na 0.000 0.000 0.000 1
Na4 Na 0.000 0.000 0.500 1
Ca1 Ca 0.500 0.500 0.000 1
Ca2 Ca 0.500 0.500 0.500 1
Ca3 Ca 0.000 0.500 0.500 1
Tc1 Tc 0.000 0.500 0.000 1
O1 O 0.210 0.705 0.995 1
O2 O 0.210 0.705 0.420 1
O3 O 0.259 0.277 0.518 1
O4 O 0.785 0.705 0.995 1
O5 O 0.215 0.295 0.005 1
O6 O 0.741 0.723 0.482 1
O7 O 0.790 0.295 0.580 1
O8 O 0.790 0.295 0.005 1
# N(E_F) = 6.7 states/eV/f.u.
# electronic total energy = -5.85 eV/atom
# formation energy from raw total energies = -2.016 eV/atom

***

# 2
# Na2CaTeO4, relaxed, DFT GGA-PBE
data_Na2CaTeO4
_cell_length_a 6.806
_cell_length_b 6.806
_cell_length_c 6.868
_cell_angle_alpha 120.30
_cell_angle_beta 120.30
_cell_angle_gamma 89.71
_symmetry_space_group_name_H-M 'P 1'
_symmetry_Int_Tables_number 1
_symmetry_space_group_name_Hall 'P 1'
loop_
_atom_site_label
_atom_site_type_symbol
_atom_site_fract_x
_atom_site_fract_y
_atom_site_fract_z
_atom_site_occupancy
Na1 Na 0.500 0.000 0.000 1
Na2 Na 0.500 0.000 0.500 1
Na3 Na 0.000 0.000 0.500 1
Na4 Na 0.500 0.500 0.000 1
Ca1 Ca 0.000 0.500 0.000 1
Ca2 Ca 0.000 0.500 0.500 1
Te1 Te 0.500 0.500 0.500 1
Te2 Te 0.000 0.000 0.000 1
O1 O 0.213 0.762 0.987 1
O2 O 0.738 0.287 0.513 1
O3 O 0.262 0.713 0.487 1
O4 O 0.787 0.238 0.013 1
O5 O 0.753 0.747 0.977 1
O6 O 0.753 0.747 0.523 1
O7 O 0.247 0.253 0.477 1
O8 O 0.247 0.253 0.023 1
# electronic total energy = -5.16 eV/atom
# formation energy from raw total energies = -1.709 eV/atom

***

Question: Which value of formation energy from raw total energies does entry 2 give?
Answer: -1.709 eV/atom